[1]
# RbTl2IrBr8

A relaxed structure of RbTl2IrBr8 (PBE, Alexandria).

Cell: 6.4962 7.9795 9.4564 Å, 89.99 90.00 118.71°
Positions (direct):
Rb: 0.0000 0.0000 0.5000
Tl: 0.5003 0.4999 0.7497
Tl: 0.4997 0.5001 0.2503
Ir: 0.0000 0.0000 0.0000
Br: 0.0266 0.7860 0.1849
Br: 0.5656 0.8002 0.9998
Br: 0.9730 0.2138 0.1849
Br: 0.9734 0.2140 0.8151
Br: 0.4344 0.1998 0.0002
Br: 0.0270 0.7862 0.8151
Br: 0.3960 0.6856 0.5001
Br: 0.6040 0.3144 0.4999

Results
- Symmetry: P2/m
- N(E_F): 7.4 states/eV per cell
- ΔE_f (raw): -0.660 eV/atom
- Calculated total energy: -2.99 eV per atom

[2]
# MgWBr2

A relaxed structure of MgWBr2 (PBE, Alexandria).

Cell: 5.3728 5.3728 7.7878 Å, 71.39 71.39 34.15°
Each line ends with the local moment (μB).
Positions (direct):
Br: 0.1085 0.1085 0.9206  0.01
Br: 0.2626 0.2626 0.3529  0.02
Mg: 0.4375 0.4375 0.5809  0.00
W: 0.6915 0.6915 0.6456  0.28

Results
- Symmetry: Cm
- N(E_F): 2.5 states/eV per cell
- ΔE_f (raw): 0.265 eV/atom
- Calculated total energy: -4.21 eV per atom

[3]
# InPAuO2

A relaxed structure of InPAuO2 (PBE, Alexandria).

Cell: 3.9556 3.9556 6.2416 Å, 90.00 90.00 90.00°
Each line ends with the local moment (μB).
Positions (direct):
P: 0.0000 0.0000 0.5000  0.31
Au: 0.5000 0.5000 0.5000  0.04
O: 0.0000 0.5000 0.0000  0.42
O: 0.5000 0.0000 0.0000  0.42
In: 0.0000 0.0000 0.0000  -0.01

Results
- Symmetry: P4/mmm
- N(E_F): 2.8 states/eV per cell
- ΔE_f (raw): 0.206 eV/atom
- Calculated total energy: -4.06 eV per atom

[4]
# ScTl2Cd

A relaxed structure of ScTl2Cd (PBE, Alexandria).

Cell: 4.8347 3.3617 6.2215 Å, 83.63 90.00 90.00°
Positions (direct):
Cd: 0.5000 0.2500 0.2500
Sc: 0.5000 0.7500 0.7500
Tl: 0.0000 0.0544 0.9941
Tl: 0.0000 0.4456 0.5059

Results
- Calculated formation energy: -0.1 eV/f.u.
- Symmetry: P2/m
- N(E_F): 2.7 states/eV per cell
- Calculated total energy: -3.02 eV per atom

[5]
# CaScRe2

A relaxed structure of CaScRe2 (PBE, Alexandria).

Cell: 2.9161 4.5052 6.3758 Å, 90.00 90.00 90.00°
Positions (direct):
Sc: 0.5000 0.5000 0.2500
Re: 0.0000 0.0000 0.0684
Re: 0.0000 0.0000 0.4316
Ca: 0.5000 0.5000 0.7500

Results
- Calculated formation energy: 1.7 eV/f.u.
- Symmetry: Pmmm
- N(E_F): 4.0 states/eV per cell
- Calculated total energy: -7.87 eV per atom

[6]
# In2SnPbCl6

A relaxed structure of In2SnPbCl6 (PBE, Alexandria).

Cell: 7.8965 7.8950 7.8300 Å, 59.68 59.67 59.91°
Positions (direct):
In: 0.5345 0.5341 0.3975
In: 0.0308 0.0313 0.9071
Sn: 0.3195 0.3196 0.0415
Pb: 0.8176 0.8176 0.5473
Cl: 0.6122 0.1607 0.2660
Cl: 0.1600 0.9610 0.2657
Cl: 0.9613 0.6128 0.2654
Cl: 0.4642 0.6480 0.7751
Cl: 0.6489 0.1122 0.7749
Cl: 0.1127 0.4644 0.7748

Results
- Symmetry: R3
- N(E_F): 0.0 states/eV per cell
- ΔE_f (raw): -0.974 eV/atom
- Calculated total energy: -3.40 eV per atom

[7]
# TiHg2Rh

A relaxed structure of TiHg2Rh (PBE, Alexandria).

Cell: 4.6433 4.6433 4.6433 Å, 60.00 60.00 60.00°
Positions (direct):
Rh: 0.5000 0.5000 0.5000
Hg: 0.2500 0.2500 0.2500
Hg: 0.7500 0.7500 0.7500
Ti: 0.0000 0.0000 0.0000

Results
- Calculated formation energy: -0.1 eV/f.u.
- Symmetry: Fm-3m
- N(E_F): 2.1 states/eV per cell
- Calculated total energy: -3.99 eV per atom

[8]
# Ga2PbO2

A relaxed structure of Ga2PbO2 (PBE, Alexandria).

Cell: 3.5997 3.5997 7.1971 Å, 75.52 75.52 90.00°
Positions (direct):
Pb: 0.0000 0.0000 0.0000
O: 0.7500 0.2500 0.5000
O: 0.2500 0.7500 0.5000
Ga: 0.3197 0.3197 0.3606
Ga: 0.6803 0.6803 0.6394

Results
- Symmetry: I4/mmm
- N(E_F): 0.9 states/eV per cell
- ΔE_f (raw): -0.893 eV/atom
- Calculated total energy: -4.83 eV per atom

[9]
# TiSbPI2

A relaxed structure of TiSbPI2 (PBE, Alexandria).

Cell: 5.3237 5.3237 5.7334 Å, 90.00 90.00 90.00°
Each line ends with the local moment (μB).
Positions (direct):
I: 0.0000 0.5000 0.0000  -0.04
I: 0.5000 0.0000 0.0000  -0.04
Sb: 0.0000 0.0000 0.5000  -0.31
P: 0.5000 0.5000 0.5000  0.86
Ti: 0.0000 0.0000 0.0000  0.73

Results
- Symmetry: P4/mmm
- N(E_F): 2.2 states/eV per cell
- ΔE_f (raw): 0.479 eV/atom
- Calculated total energy: -3.63 eV per atom

[10]
# PmScCrN3

A relaxed structure of PmScCrN3 (PBE, Alexandria).

Cell: 3.3054 7.0888 7.2959 Å, 101.36 90.00 90.00°
Positions (direct):
Pm: 0.7500 0.8108 0.8072
Pm: 0.2500 0.1892 0.1928
Sc: 0.2500 0.6376 0.1497
Sc: 0.7500 0.3624 0.8503
Cr: 0.2500 0.0882 0.6014
Cr: 0.7500 0.9118 0.3986
N: 0.2500 0.8237 0.4842
N: 0.7500 0.8764 0.1472
N: 0.7500 0.4253 0.1479
N: 0.7500 0.1763 0.5158
N: 0.2500 0.5747 0.8521
N: 0.2500 0.1236 0.8528

Results
- Symmetry: P2_1/m
- N(E_F): 5.7 states/eV per cell
- ΔE_f (raw): -1.143 eV/atom
- Calculated total energy: -8.76 eV per atom

[11]
# LaMgIn2

A relaxed structure of LaMgIn2 (PBE, Alexandria).

Cell: 3.8064 3.8064 7.6300 Å, 90.00 90.00 89.99°
Positions (direct):
In: 0.0000 0.0000 0.9895
In: 0.5000 0.5000 0.2202
La: 0.0000 0.0000 0.4988
Mg: 0.5000 0.5000 0.7915

Results
- Calculated formation energy: -0.9 eV/f.u.
- Symmetry: P4mm
- N(E_F): 2.7 states/eV per cell
- Calculated total energy: -3.22 eV per atom

[12]
# Sm2Tc12P7

A relaxed structure of Sm2Tc12P7 (PBE, Alexandria).

Cell: 3.9603 9.5977 9.5977 Å, 120.00 90.00 90.00°
Positions (direct):
Sm: 0.5000 0.0000 0.0000
Sm: 0.0000 0.6667 0.3333
Tc: 0.5000 0.9013 0.6323
Tc: 0.5000 0.7310 0.0987
Tc: 0.5000 0.3677 0.2690
Tc: 0.5000 0.2387 0.7877
Tc: 0.5000 0.5490 0.7613
Tc: 0.5000 0.2123 0.4510
Tc: 0.0000 0.0614 0.5496
Tc: 0.0000 0.4882 0.9386
Tc: 0.0000 0.4504 0.5118
Tc: 0.0000 0.7656 0.7089
Tc: 0.0000 0.9433 0.2344
Tc: 0.0000 0.2911 0.0567
P: 0.0000 0.3333 0.6667
P: 0.0000 0.0576 0.7944
P: 0.0000 0.7368 0.9424
P: 0.0000 0.2056 0.2632
P: 0.5000 0.6091 0.5431
P: 0.5000 0.9340 0.3909
P: 0.5000 0.4569 0.0660

Results
- Calculated formation energy: -12.4 eV/f.u.
- Symmetry: P-6
- N(E_F): 17.4 states/eV per cell
- Calculated total energy: -8.77 eV per atom

[13]
# YPb2Se

A relaxed structure of YPb2Se (PBE, Alexandria).

Cell: 5.3914 5.3914 5.3914 Å, 60.00 60.00 60.00°
Positions (direct):
Pb: 0.0000 0.0000 0.0000
Pb: 0.2500 0.2500 0.2500
Se: 0.5000 0.5000 0.5000
Y: 0.7500 0.7500 0.7500

Results
- Symmetry: F-43m
- N(E_F): 3.0 states/eV per cell
- ΔE_f (raw): -0.394 eV/atom
- Calculated total energy: -4.74 eV per atom

[14]
# Mg2V2Bi

A relaxed structure of Mg2V2Bi (PBE, Alexandria).

Cell: 5.8484 4.3815 8.3807 Å, 90.00 100.33 90.00°
Each line ends with the local moment (μB).
Positions (direct):
Mg: 0.8256 0.5000 0.5130  0.00
Mg: 0.0242 0.0000 0.3171  0.00
Mg: 0.7671 0.5000 0.1470  0.00
Mg: 0.2534 0.5000 0.7943  0.00
V: 0.4723 0.0000 0.0232  1.27
V: 0.3179 0.5000 0.4192  1.15
V: 0.4998 0.0000 0.2969  -0.14
V: 0.2927 0.5000 0.1472  -0.28
Bi: 0.9631 0.0000 0.9357  -0.02
Bi: 0.4734 0.0000 0.6335  -0.01

Results
- Calculated formation energy: 1.1 eV/f.u.
- Symmetry: Pm
- N(E_F): 6.3 states/eV per cell
- Calculated total energy: -4.85 eV per atom

[15]
# La4AlSiI2

A relaxed structure of La4AlSiI2 (PBE, Alexandria).

Cell: 4.3867 7.9110 8.1783 Å, 107.66 90.00 90.00°
Positions (direct):
La: 0.5000 0.2282 0.2056
La: 0.5000 0.7718 0.7944
La: 0.0000 0.2519 0.7846
La: 0.0000 0.7481 0.2154
Al: 0.5000 0.5000 0.0000
Si: 0.0000 0.0000 0.0000
I: 0.5000 0.0000 0.5000
I: 0.0000 0.5000 0.5000

Results
- Symmetry: P2/m
- N(E_F): 3.7 states/eV per cell
- ΔE_f (raw): -0.816 eV/atom
- Calculated total energy: -4.81 eV per atom

[16]
# CdAg4

A relaxed structure of CdAg4 (PBE, Alexandria).

Cell: 5.1412 5.1412 5.1412 Å, 90.00 90.00 90.00°
Positions (direct):
Ag: 0.0000 0.0000 0.0000
Ag: 0.5000 0.0000 0.5000
Ag: 0.0000 0.5000 0.5000
Ag: 0.5000 0.5000 0.0000
Cd: 0.5000 0.5000 0.5000

Results
- Calculated formation energy: 3.7 eV/f.u.
- Symmetry: Pm-3m
- N(E_F): 2.5 states/eV per cell
- Calculated total energy: -1.71 eV per atom

[17]
# ZnCrRu2

A relaxed structure of ZnCrRu2 (PBE, Alexandria).

Cell: 4.9798 4.9798 4.9798 Å, 144.50 131.29 61.71°
Positions (direct):
Cr: 0.2468 0.7468 0.5000
Ru: 0.0109 0.0109 0.0000
Ru: 0.7489 0.2489 0.5000
Zn: 0.4934 0.4934 0.0000

Results
- Calculated formation energy: 0.5 eV/f.u.
- Symmetry: Imm2
- N(E_F): 3.6 states/eV per cell
- Calculated total energy: -7.25 eV per atom

[18]
# LaUSe2

A relaxed structure of LaUSe2 (PBE, Alexandria).

Cell: 4.1192 4.1192 7.4752 Å, 74.01 74.01 60.00°
Each line ends with the local moment (μB).
Positions (direct):
U: 0.5000 0.5000 0.5000  2.58
Se: 0.7549 0.7549 0.7354  -0.03
Se: 0.2451 0.2451 0.2646  -0.03
La: 0.0000 0.0000 0.0000  0.01

Results
- Symmetry: R-3m
- N(E_F): 6.9 states/eV per cell
- ΔE_f (raw): -1.465 eV/atom
- Calculated total energy: -7.26 eV per atom

[19]
# TmNbCoOs

A relaxed structure of TmNbCoOs (PBE, Alexandria).

Cell: 4.5689 4.5689 4.5689 Å, 60.00 60.00 60.00°
Each line ends with the local moment (μB).
Positions (direct):
Co: 0.2500 0.2500 0.2500  1.08
Nb: 0.0000 0.0000 0.0000  -0.05
Tm: 0.5000 0.5000 0.5000  -0.10
Os: 0.7500 0.7500 0.7500  0.07

Results
- Calculated formation energy: -0.7 eV/f.u.
- Symmetry: F-43m
- N(E_F): 1.9 states/eV per cell
- Calculated total energy: -8.39 eV per atom

[20]
# Dy3AlZn3

A relaxed structure of Dy3AlZn3 (PBE, Alexandria).

Cell: 4.3532 5.7195 13.8535 Å, 84.49 80.96 67.63°
Positions (direct):
Dy: 0.5354 0.3128 0.6163
Dy: 0.4646 0.6872 0.3837
Dy: 0.2484 0.2766 0.2266
Dy: 0.7516 0.7234 0.7734
Dy: 0.3935 0.2923 0.9208
Dy: 0.6065 0.7077 0.0792
Al: 0.7524 0.0994 0.3958
Al: 0.2476 0.9006 0.6042
Zn: 0.8708 0.7179 0.5404
Zn: 0.1292 0.2821 0.4596
Zn: 0.1078 0.8594 0.9249
Zn: 0.8922 0.1406 0.0751
Zn: 0.9577 0.8506 0.2340
Zn: 0.0423 0.1494 0.7660

Results
- Calculated formation energy: -2.4 eV/f.u.
- Symmetry: C2/m
- N(E_F): 12.6 states/eV per cell
- Calculated total energy: -3.39 eV per atom